! TmSc2In2 PBE-GGA optimized geometry; values from VASP
! formation energy: -1.776 eV/f.u.
! ΔE to the lowest computed polymorph: 0.000 eV per atom
! Fermi-level density of states: 0.88 states/eV per atom
! space-group type: P2_1/m (11)
&SYSTEM
  ibrav = 0, nat = 10, ntyp = 3
/
ATOMIC_SPECIES
Sc 44.96 Sc.upf
Tm 168.93 Tm.upf
In 114.82 In.upf
CELL_PARAMETERS angstrom
-1.102 3.062 -1.556
-4.547 -2.149 -1.007
-3.997 2.690 12.308
ATOMIC_POSITIONS crystal
Sc 0.950 0.250 0.900
Sc 0.050 0.750 0.100
Sc 0.240 0.750 0.481
Sc 0.760 0.250 0.519
Tm 0.149 0.250 0.299
Tm 0.851 0.750 0.701
In 0.647 0.750 0.295
In 0.547 0.250 0.093
In 0.453 0.750 0.907
In 0.353 0.250 0.705



! Tm3ScIn3 PBE-GGA optimized geometry; values from VASP
! formation energy: -1.909 eV/f.u.
! Fermi-level density of states: 0.84 states/eV per atom
! space-group type: P6_3/m (176)
&SYSTEM
  ibrav = 0, nat = 14, ntyp = 3
/
ATOMIC_SPECIES
In 114.82 In.upf
Tm 168.93 Tm.upf
Sc 44.96 Sc.upf
CELL_PARAMETERS angstrom
5.131 0.000 0.000
0.000 9.050 0.000
0.000 -4.525 7.837
ATOMIC_POSITIONS crystal
In 0.250 0.081 0.620
In 0.750 0.461 0.081
In 0.250 0.380 0.461
In 0.750 0.620 0.539
In 0.750 0.919 0.380
In 0.250 0.539 0.919
Tm 0.250 0.235 0.012
Tm 0.750 0.012 0.777
Tm 0.750 0.765 0.988
Tm 0.750 0.223 0.235
Tm 0.250 0.777 0.765
Tm 0.250 0.988 0.223
Sc 0.750 0.333 0.667
Sc 0.250 0.667 0.333



! TmSc4In5 PBE-GGA optimized geometry; values from VASP
! formation energy: -4.222 eV/f.u.
! Fermi-level density of states: 0.72 states/eV per atom
! space-group type: P4/mmm (123)
&SYSTEM
  ibrav = 0, nat = 10, ntyp = 3
/
ATOMIC_SPECIES
In 114.82 In.upf
Sc 44.96 Sc.upf
Tm 168.93 Tm.upf
CELL_PARAMETERS angstrom
3.228 0.000 0.000
0.000 3.228 0.000
0.000 0.000 22.130
ATOMIC_POSITIONS crystal
In 0.500 0.500 0.106
In 0.500 0.500 0.697
In 0.500 0.500 0.894
In 0.500 0.500 0.303
In 0.500 0.500 0.500
Sc 0.000 0.000 0.796
Sc 0.000 0.000 0.204
Sc 0.000 0.000 0.599
Sc 0.000 0.000 0.401
Tm 0.000 0.000 0.000